a | Density functional theory data (PBE) for an optimized crystal structure of YZrTa.

Cell: 5.0531 5.0531 3.1902 Å, 90.00 90.00 120.00°
With the nearest neighbours (Å) after each atom.
Space group P-6m2 (No. 187)
Inequivalent atoms, fractional coordinates:
Y1 0.0000 0.0000 0.0000 (multiplicity 1)  2 Y 3.19, 6 Ta 3.32, 6 Zr 3.32
Zr1 0.6667 0.3333 0.5000 (multiplicity 1)  3 Ta 2.92, 2 Zr 3.19
Ta1 0.3333 0.6667 0.5000 (multiplicity 1)  3 Zr 2.92, 2 Ta 3.19

---

b | Density functional theory data (PBE) for an optimized crystal structure of YZrTa.

Cell: 3.1807 3.1807 8.0103 Å, 90.00 90.00 120.00°
With the nearest neighbours (Å) after each atom.
Space group P3m1 (No. 156)
Inequivalent atoms, fractional coordinates:
Y1 0.0000 0.0000 0.0000 (multiplicity 1)  6 Y 3.18, 3 Ta 3.19, 3 Zr 3.48
Zr1 0.6667 0.3333 0.3698 (multiplicity 1)  3 Ta 3.05, 6 Zr 3.18
Ta1 0.3333 0.6667 0.6740 (multiplicity 1)  3 Zr 3.05, 6 Ta 3.18, 3 Y 3.19

---

c | Density functional theory data (PBE) for an optimized crystal structure of YZrTa.

Cell: 3.1066 3.1066 14.9430 Å, 90.00 90.00 90.00°
With the nearest neighbours (Å) after each atom.
Space group I4mm (No. 107)
Inequivalent atoms, fractional coordinates:
Y1 0.0000 0.0000 0.0000 (multiplicity 2)  4 Y 3.11, 4 Ta 3.22
Zr1 0.0000 0.0000 0.2993 (multiplicity 2)  4 Ta 3.05, 4 Zr 3.11
Ta1 0.0000 0.0000 0.6575 (multiplicity 2)  4 Zr 3.05, 4 Ta 3.11, 4 Y 3.22

---

The most stable arrangement is a, and the next structure is 0.040 eV/atom less stable.

---

a | Density functional theory data (PBE) for an optimized crystal structure of TaZn4.

Cell: 5.1107 5.1107 5.1107 Å, 90.00 90.00 90.00°
With the nearest neighbours (Å) after each atom.
Space group Pm-3m (No. 221)
Inequivalent atoms, fractional coordinates:
Ta1 0.0000 0.0000 0.0000 (multiplicity 1)  6 Zn 2.56
Zn1 0.0000 0.0000 0.5000 (multiplicity 3)  2 Ta 2.56
Zn2 0.5000 0.5000 0.5000 (multiplicity 1)  12 Zn 3.61

---

b | Density functional theory data (PBE) for an optimized crystal structure of TaZn4.

Cell: 6.1963 6.1963 4.0484 Å, 90.00 90.00 90.00°
With the nearest neighbours (Å) after each atom.
Space group I4/m (No. 87)
Inequivalent atoms, fractional coordinates:
Ta1 0.0000 0.0000 0.0000 (multiplicity 2)  12 Zn 2.81-2.85
Zn1 0.0847 0.3022 0.5000 (multiplicity 8)  9 Zn 2.67-2.95, 3 Ta 2.81-2.85

---

The most stable arrangement is b, and the next structure is 0.986 eV/atom less stable.

---

a | Density functional theory data (PBE) for an optimized crystal structure of Ta5Zn.

Cell: 5.5920 5.5920 4.5566 Å, 90.00 90.00 120.00°
With the nearest neighbours (Å) after each atom.
Space group P6/mmm (No. 191)
Inequivalent atoms, fractional coordinates:
Ta1 0.0000 0.5000 0.0000 (multiplicity 3)  8 Ta 2.79-2.80
Ta2 0.3333 0.6667 0.5000 (multiplicity 2)  6 Ta 2.79
Zn1 0.0000 0.0000 0.5000 (multiplicity 1)  18 Ta 3.23-3.61

---

b | Density functional theory data (PBE) for an optimized crystal structure of Ta5Zn.

Cell: 3.4732 13.5009 4.5224 Å, 90.00 90.00 90.00°
With the nearest neighbours (Å) after each atom.
Space group Cmmm (No. 65)
Inequivalent atoms, fractional coordinates:
Ta1 0.0000 0.0000 0.0000 (multiplicity 2)  8 Ta 2.83-3.16, 4 Zn 2.85
Ta2 0.0000 0.1636 0.5000 (multiplicity 4)  2 Zn 2.81, 6 Ta 2.85-2.91
Ta3 0.0000 0.3349 0.0000 (multiplicity 4)  8 Ta 2.83-2.88
Zn1 0.0000 0.5000 0.5000 (multiplicity 2)  8 Ta 2.81-2.85

---

c | Density functional theory data (PBE) for an optimized crystal structure of Ta5Zn.

Cell: 11.0314 2.7644 7.2624 Å, 90.00 103.18 90.00°
With the nearest neighbours (Å) after each atom.
Space group Cm (No. 8)
Inequivalent atoms, fractional coordinates:
Ta1 0.0000 0.0000 0.0000 (multiplicity 2)  10 Ta 2.76-3.07, 2 Zn 2.97
Ta2 0.0683 0.0000 0.6320 (multiplicity 2)  8 Ta 2.76-3.01, 2 Zn 3.01
Ta3 0.1686 0.5000 0.3302 (multiplicity 2)  9 Ta 2.76-3.01, 3 Zn 2.88-2.99
Ta4 0.2396 0.5000 0.9817 (multiplicity 2)  8 Ta 2.76-3.08, 2 Zn 2.93
Ta5 0.3302 0.0000 0.6593 (multiplicity 2)  11 Ta 2.76-3.08, 1 Zn 2.91
Zn1 0.4033 0.0000 0.2994 (multiplicity 2)  2 Zn 2.76, 10 Ta 2.88-3.01

---

The most stable arrangement is b, and the next structure is 0.132 eV/atom less stable.

---

a | Density functional theory data (PBE) for an optimized crystal structure of Ta5Zn.

Cell: 3.3545 3.3545 9.3820 Å, 90.00 90.00 90.00°
With the nearest neighbours (Å) after each atom.
Space group P4/mmm (No. 123)
Inequivalent atoms, fractional coordinates:
Ta1 0.0000 0.0000 0.0000 (multiplicity 1)  10 Ta 2.88-3.22
Ta2 0.0000 0.0000 0.3428 (multiplicity 2)  4 Zn 2.79, 5 Ta 2.85-2.95
Ta3 0.5000 0.5000 0.1745 (multiplicity 2)  8 Ta 2.85-2.88, 1 Zn 3.05
Zn1 0.5000 0.5000 0.5000 (multiplicity 1)  10 Ta 2.79-3.05

---

b | Density functional theory data (PBE) for an optimized crystal structure of Ta5Zn.

Cell: 2.7945 2.7945 13.7446 Å, 90.00 90.00 90.00°
With the nearest neighbours (Å) after each atom.
Space group P4/mmm (No. 123)
Inequivalent atoms, fractional coordinates:
Ta1 0.0000 0.0000 0.0000 (multiplicity 1)  12 Ta 2.79-3.11
Ta2 0.0000 0.0000 0.3464 (multiplicity 2)  8 Ta 2.79-3.07, 4 Zn 2.89
Ta3 0.5000 0.5000 0.1752 (multiplicity 2)  12 Ta 2.79-3.11
Zn1 0.5000 0.5000 0.5000 (multiplicity 1)  4 Zn 2.79, 8 Ta 2.89

---

c | Density functional theory data (PBE) for an optimized crystal structure of Ta5Zn.

Cell: 7.6921 7.6921 7.6921 Å, 90.00 90.00 90.00°
With the nearest neighbours (Å) after each atom.
Space group F-43m (No. 216)
Inequivalent atoms, fractional coordinates:
Ta1 0.0000 0.0000 0.0000 (multiplicity 4)  12 Ta 3.19, 4 Zn 3.33
Ta2 0.1267 0.1267 0.6267 (multiplicity 16)  6 Ta 2.68-2.76
Zn1 0.2500 0.2500 0.2500 (multiplicity 4)  16 Ta 3.19-3.33

---

d | Density functional theory data (PBE) for an optimized crystal structure of Ta5Zn.

Cell: 4.8948 2.7544 16.0394 Å, 90.00 90.00 90.00°
With the nearest neighbours (Å) after each atom.
Space group Amm2 (No. 38)
Inequivalent atoms, fractional coordinates:
Ta1 0.0000 0.0000 0.0000 (multiplicity 2)  8 Ta 2.75-3.02, 2 Zn 2.99
Ta2 0.0000 0.0000 0.3265 (multiplicity 2)  8 Ta 2.75-3.06, 2 Zn 2.93
Ta3 0.5000 0.0000 0.2316 (multiplicity 2)  8 Ta 2.75-3.07, 4 Zn 3.00
Ta4 0.5000 0.0000 0.5686 (multiplicity 2)  10 Ta 2.75-3.02, 2 Zn 2.90
Ta5 0.5000 0.0000 0.9026 (multiplicity 2)  12 Ta 2.75-3.07
Zn1 0.0000 0.0000 0.6656 (multiplicity 2)  2 Zn 2.75, 10 Ta 2.90-3.00

---

The most stable arrangement is a, and the next structure is 0.107 eV/atom less stable.

---

a | Density functional theory data (PBE) for an optimized crystal structure of Ta3Zn2.

Cell: 2.8843 2.8843 35.9347 Å, 90.00 90.00 120.00°
With the nearest neighbours (Å) after each atom.
Space group R-3m (No. 166, hexagonal axes)
Inequivalent atoms, fractional coordinates:
Ta1 0.0000 0.0000 0.0000 (multiplicity 3)  6 Zn 2.88, 6 Ta 2.88
Ta2 0.0000 0.0000 0.2023 (multiplicity 6)  9 Ta 2.88-3.05, 3 Zn 2.88
Zn1 0.0000 0.0000 0.3988 (multiplicity 6)  6 Ta 2.88, 6 Zn 2.88

---

b | Density functional theory data (PBE) for an optimized crystal structure of Ta3Zn2.

Cell: 9.7062 13.5247 5.1496 Å, 90.00 90.00 90.00°
With the nearest neighbours (Å) after each atom.
Space group Fdd2 (No. 43)
Inequivalent atoms, fractional coordinates:
Ta1 0.0000 0.0000 0.0000 (multiplicity 8)  6 Zn 2.75-2.95, 4 Ta 2.84-3.04
Ta2 0.0432 0.3962 0.0271 (multiplicity 16)  6 Zn 2.72-3.03, 5 Ta 2.81-3.04
Zn1 0.0275 0.2983 0.5550 (multiplicity 16)  9 Ta 2.72-3.03, 2 Zn 2.94

---

The most stable arrangement is b, and the next structure is 0.007 eV/atom less stable.

---

a | Density functional theory data (PBE) for an optimized crystal structure of Ta2Zn3.

Cell: 9.0756 13.1799 5.2317 Å, 90.00 90.00 90.00°
With the nearest neighbours (Å) after each atom.
Space group Fdd2 (No. 43)
Inequivalent atoms, fractional coordinates:
Ta1 0.0708 0.1984 0.0000 (multiplicity 16)  9 Zn 2.72-3.04
Zn1 0.0000 0.0000 0.1461 (multiplicity 8)  4 Zn 2.49-2.53, 2 Ta 2.72
Zn2 0.0697 0.1157 0.5114 (multiplicity 16)  4 Zn 2.49-2.63, 4 Ta 2.72-2.78

---

b | Density functional theory data (PBE) for an optimized crystal structure of Ta2Zn3.

Cell: 2.8608 2.8608 34.9884 Å, 90.00 90.00 120.00°
With the nearest neighbours (Å) after each atom.
Space group R-3m (No. 166, hexagonal axes)
Inequivalent atoms, fractional coordinates:
Ta1 0.0000 0.0000 0.0989 (multiplicity 6)  6 Ta 2.86, 6 Zn 2.88-2.89
Zn1 0.0000 0.0000 0.3020 (multiplicity 6)  9 Zn 2.74-2.86, 3 Ta 2.88
Zn2 0.0000 0.0000 0.5000 (multiplicity 3)  6 Zn 2.86, 6 Ta 2.89

---

c | Density functional theory data (PBE) for an optimized crystal structure of Ta2Zn3.

Cell: 4.3931 4.3931 5.5744 Å, 90.00 90.00 120.00°
With the nearest neighbours (Å) after each atom.
Space group P-3m1 (No. 164)
Inequivalent atoms, fractional coordinates:
Ta1 0.3333 0.6667 0.3676 (multiplicity 2)  8 Zn 2.64-2.87, 3 Ta 2.93
Zn1 0.0000 0.0000 0.5000 (multiplicity 1)  6 Ta 2.64
Zn2 0.3333 0.6667 0.8748 (multiplicity 2)  5 Ta 2.75-2.87, 3 Zn 2.89

---

The most stable arrangement is a, and the next structure is 0.087 eV/atom less stable.